# RbNbCl6

A geometry-optimized RbNbCl6 structure (PBEsol, Alexandria).

Summary:
SG: C2/c, No. 15
DOS at the Fermi energy: 0.0000 states/eV/atom
Raw formation energy: -1440 meV/atom

Cell lengths 6.2488, 6.7034, 12.0053 Å; angles 100.25, 90.00, 117.78 degrees
Sites, in units of the cell vectors:
Cl 0.5247 0.8448 0.6056
Cl 0.1969 0.5735 0.8323
Cl 0.7939 0.7056 0.9654
Cl 0.0884 0.2944 0.5346
Cl 0.8031 0.4265 0.1677
Cl 0.9116 0.7056 0.4654
Cl 0.2061 0.2944 0.0346
Cl 0.6799 0.1552 0.8944
Cl 0.3201 0.8448 0.1056
Cl 0.3766 0.5735 0.3323
Cl 0.4753 0.1552 0.3944
Cl 0.6234 0.4265 0.6677
Nb 0.5000 0.5000 0.5000
Nb 0.0000 0.5000 0.0000
Rb 0.0953 0.0000 0.7500
Rb 0.9047 0.0000 0.2500

=====

# AsHPbSe2

A geometry-optimized AsHPbSe2 structure (PBEsol, Alexandria).

Summary:
SG: P4/mmm, No. 123
DOS at the Fermi energy: 0.3555 states/eV/atom

Cell lengths 3.4335, 5.2346, 5.2346 Å; angles 90.00, 90.00, 90.00 degrees
Sites, in units of the cell vectors:
H 0.0000 0.0000 0.0000
Pb 0.5000 0.5000 0.5000
Se 0.0000 0.0000 0.5000
Se 0.0000 0.5000 0.0000
As 0.5000 0.0000 0.0000

=====

# RhAuSeF2

A geometry-optimized RhAuSeF2 structure (PBEsol, Alexandria).

Summary:
SG: P4/mmm, No. 123
DOS at the Fermi energy: 1.2618 states/eV/atom
Raw formation energy: -446 meV/atom

Cell lengths 3.8411, 3.8411, 5.5046 Å; angles 90.00, 90.00, 90.00 degrees
Site moments in Bohr magnetons follow the coordinates.
Sites, in units of the cell vectors:
Rh 0.0000 0.0000 0.0000  0.45
Se 0.5000 0.5000 0.5000  0.11
F 0.5000 0.0000 0.0000  0.05
F 0.0000 0.5000 0.0000  0.05
Au 0.0000 0.0000 0.5000  0.04

=====

# LaInAg2Ge

A geometry-optimized LaInAg2Ge structure (PBEsol, Alexandria).

Summary:
SG: P4/mmm, No. 123
DOS at the Fermi energy: 0.4604 states/eV/atom
Energy of formation from the pure elements: 4.6 kJ per mole of atoms

Cell lengths 4.7975, 4.7975, 5.3928 Å; angles 90.00, 90.00, 90.00 degrees
Sites, in units of the cell vectors:
Ge 0.0000 0.0000 0.0000
Ag 0.5000 0.0000 0.0000
Ag 0.0000 0.5000 0.0000
La 0.5000 0.5000 0.5000
In 0.0000 0.0000 0.5000

=====

# SrLaHg3

A geometry-optimized SrLaHg3 structure (PBEsol, Alexandria).

Summary:
SG: Pm-3m, No. 221
DOS at the Fermi energy: 1.2444 states/eV/atom
Energy of formation from the pure elements: 23.5 kJ per mole of atoms

Cell lengths 5.5547, 5.5547, 5.5547 Å; angles 90.00, 90.00, 90.00 degrees
Sites, in units of the cell vectors:
La 0.5000 0.5000 0.5000
Hg 0.5000 0.0000 0.0000
Hg 0.0000 0.5000 0.0000
Hg 0.0000 0.0000 0.5000
Sr 0.0000 0.0000 0.0000

=====

# Mn2TeF2

A geometry-optimized Mn2TeF2 structure (PBEsol, Alexandria).

Summary:
SG: I4/mmm, No. 139
DOS at the Fermi energy: 0.2767 states/eV/atom
Raw formation energy: -1175 meV/atom

Cell lengths 3.6499, 3.6499, 6.1859 Å; angles 107.16, 107.16, 90.00 degrees
Site moments in Bohr magnetons follow the coordinates.
Sites, in units of the cell vectors:
Mn 0.3630 0.3630 0.7260  4.32
Mn 0.6370 0.6370 0.2740  4.32
Te 0.0000 0.0000 0.0000  0.01
F 0.2500 0.7500 0.5000  0.10
F 0.7500 0.2500 0.5000  0.10

=====

# BiO2

A geometry-optimized BiO2 structure (PBEsol, Alexandria).

Summary:
SG: Pmc2_1, No. 26
Raw formation energy: -929 meV/atom

Cell lengths 3.4217, 10.6934, 11.7241 Å; angles 90.00, 90.00, 90.00 degrees
Sites, in units of the cell vectors:
O 0.5000 0.1869 0.8535
O 0.5000 0.6869 0.1465
O 0.0000 0.7745 0.6332
O 0.0000 0.5080 0.9952
O 0.5000 0.1063 0.2022
O 0.0000 0.5545 0.3461
O 0.0000 0.0545 0.6539
O 0.5000 0.4352 0.1978
O 0.0000 0.4082 0.7587
O 0.0000 0.9082 0.2413
O 0.0000 0.2745 0.3668
O 0.0000 0.0080 0.0048
O 0.5000 0.5396 0.5710
O 0.5000 0.6063 0.7978
O 0.5000 0.9352 0.8022
O 0.5000 0.0396 0.4290
Bi 0.5000 0.9168 0.1121
Bi 0.0000 0.0618 0.8355
Bi 0.5000 0.4168 0.8879
Bi 0.0000 0.5618 0.1645
Bi 0.5000 0.9210 0.6092
Bi 0.0000 0.0872 0.3206
Bi 0.0000 0.5872 0.6794
Bi 0.5000 0.4210 0.3908

=====

# TaAsSCl2

A geometry-optimized TaAsSCl2 structure (PBEsol, Alexandria).

Summary:
SG: P4/mmm, No. 123
DOS at the Fermi energy: 0.4798 states/eV/atom
Raw formation energy: -39 meV/atom

Cell lengths 4.7728, 4.8091, 4.8091 Å; angles 90.00, 90.00, 90.00 degrees
Site moments in Bohr magnetons follow the coordinates.
Sites, in units of the cell vectors:
Cl 0.0000 0.0000 0.5000  0.05
Cl 0.0000 0.5000 0.0000  0.05
Ta 0.0000 0.0000 0.0000  0.23
As 0.5000 0.5000 0.5000  1.08
S 0.5000 0.0000 0.0000  -0.02

=====

no.,calculated total energy (eV/atom)
1,-4.43
2,-3.80
3,-4.40
4,-3.93
5,-1.53
6,-6.56
7,-5.86
8,-5.25